i | First-principles (GGA-PBE) data for a relaxed Nd2Ga6Cu crystal, as listed in the Alexandria database.

SG: C2/m
Spin magnetization (μB per cell): 0.000

```
Nd2Ga6Cu
1.0
5.1766 -2.9891 0.0000
5.1766 2.9891 0.0000
-0.0001 0.0000 5.6906
Nd Ga Cu
2 6 1
Cartesian
1.7247 0.0000 1.9665
8.6285 0.0000 3.7241
4.2654 1.5570 1.0002
3.3816 0.0000 4.6712
6.0877 1.5570 4.6904
4.2654 -1.5570 1.0002
6.9715 0.0000 1.0194
6.0877 -1.5570 4.6904
5.1766 0.0000 2.8453
```

ii | First-principles (GGA-PBE) data for a relaxed Nd2Ga6Cu crystal, as listed in the Alexandria database.

SG: Fm-3m
Spin magnetization (μB per cell): 0.000

```
Nd2Ga6Cu
1.0
0.0000 4.4714 4.4714
4.4714 0.0000 4.4714
4.4714 4.4714 0.0000
Nd Ga Cu
2 6 1
Cartesian
2.2357 2.2357 2.2357
6.7070 6.7070 6.7070
4.4714 4.4714 1.9491
4.4714 1.9491 4.4714
6.9936 4.4714 4.4714
1.9491 4.4714 4.4714
4.4714 6.9936 4.4714
4.4714 4.4714 6.9936
4.4714 4.4714 4.4714
```

The structure with the least stability is ii.

i | First-principles (GGA-PBE) data for a relaxed Nd2Ga5Cu3 crystal, as listed in the Alexandria database.

SG: Ibam
Spin magnetization (μB per cell): 0.000

```
Nd2Ga5Cu3
1.0
-5.1065 6.0060 2.9971
5.1065 -6.0060 2.9971
5.1065 6.0060 -2.9971
Nd Ga Cu
4 10 6
Cartesian
2.4525 1.5484 0.0000
2.4525 -1.5484 2.9971
2.6539 7.5544 0.0000
2.6539 4.4576 2.9971
5.1065 -2.8479 1.4986
6.6183 1.3274 0.0000
0.0010 0.0014 1.4991
1.5118 4.6786 0.0000
5.1065 2.8479 1.4986
0.0000 3.1580 1.4986
3.5946 1.3274 2.9971
5.1055 6.0046 1.4980
-1.5118 4.6786 2.9971
0.0000 8.8539 1.4986
3.9122 -4.4288 2.9971
5.1065 0.0000 1.4986
3.9122 4.4288 0.0000
1.1943 1.5772 2.9971
0.0000 6.0060 1.4986
1.1943 10.4348 0.0000
```

ii | First-principles (GGA-PBE) data for a relaxed Nd2Ga5Cu3 crystal, as listed in the Alexandria database.

SG: P-4m2
Spin magnetization (μB per cell): 0.000

```
Nd2Ga5Cu3
1.0
4.3134 0.0000 0.0000
0.0000 4.3134 0.0000
0.0000 0.0000 10.1019
Nd Ga Cu
2 5 3
Cartesian
0.0000 2.1567 2.3675
2.1567 0.0000 7.7344
0.0000 0.0000 5.0509
0.0000 2.1567 6.5998
2.1567 0.0000 3.5021
2.1567 2.1567 0.0000
2.1567 2.1567 5.0509
0.0000 0.0000 0.0000
0.0000 2.1567 8.9667
2.1567 0.0000 1.1352
```

The structure with the least stability is ii.

i | First-principles (GGA-PBE) data for a relaxed NdGa2Cu9 crystal, as listed in the Alexandria database.

SG: I4_1/amd
Spin magnetization (μB per cell): 0.000

```
NdGa2Cu9
1.0
-5.0955 5.0955 3.3203
5.0955 -5.0955 3.3203
5.0955 5.0955 -3.3203
Nd Ga Cu
2 4 18
Cartesian
5.0955 2.5477 0.8301
0.0000 2.5477 2.4902
0.0000 0.0000 0.0000
2.5477 2.5477 -1.6601
2.5477 -2.5477 1.6601
0.0000 5.0955 0.0000
5.0955 -2.5477 2.4902
3.8465 -0.4212 1.2064
6.3445 -0.4212 1.2064
2.1265 1.2988 0.4537
8.0645 1.2988 0.4537
3.8465 4.6743 -1.2064
1.2490 -0.4212 2.1139
2.1265 3.7967 0.4537
2.9690 -1.2988 3.7740
2.1265 6.3943 -0.4537
2.9690 1.2988 2.8665
3.8465 5.5167 1.2064
1.2490 0.4212 4.5267
-2.9690 3.7967 2.8665
2.9690 3.7967 2.8665
-1.2490 5.5167 2.1139
1.2490 5.5167 2.1139
0.0000 7.6432 0.8301
```

ii | First-principles (GGA-PBE) data for a relaxed NdGa2Cu9 crystal, as listed in the Alexandria database.

SG: R-3m
Spin magnetization (μB per cell): 0.000

```
NdGa2Cu9
1.0
2.5041 1.4457 8.0081
-2.5041 1.4457 8.0081
0.0000 -2.8915 8.0081
Nd Ga Cu
1 2 9
Cartesian
0.0000 0.0000 0.0000
0.0000 0.0000 3.4261
0.0000 0.0000 20.5981
-1.2749 -0.7360 10.0915
0.0000 0.0000 8.0248
0.0000 -1.4721 13.9327
-1.2749 0.7360 13.9327
0.0000 0.0000 12.0121
1.2749 -0.7361 10.0915
0.0000 1.4721 10.0915
0.0000 0.0000 15.9995
1.2749 0.7361 13.9327
```

The structure with the least stability is ii.

i | First-principles (GGA-PBE) data for a relaxed Nd4GaCu crystal, as listed in the Alexandria database.

SG: P2_1/m
Spin magnetization (μB per cell): 0.000

```
Nd4GaCu
1.0
6.5081 0.0000 0.0000
0.0000 6.8978 0.0000
-2.6041 0.0000 7.8102
Nd Ga Cu
8 2 2
Cartesian
-0.5617 0.0064 1.8756
-0.5617 3.4424 1.8756
1.0942 1.7244 4.8226
2.5138 1.7244 0.7045
1.3902 5.1733 7.1057
2.8098 5.1733 2.9876
4.4657 3.4553 5.9346
4.4657 6.8913 5.9346
0.0359 5.1733 4.3654
3.8681 1.7244 3.4448
1.3029 5.1733 0.4055
2.6012 1.7244 7.4047
```

ii | First-principles (GGA-PBE) data for a relaxed Nd4GaCu crystal, as listed in the Alexandria database.

SG: Cmc2_1
Spin magnetization (μB per cell): 0.000

```
Nd4GaCu
1.0
2.6497 -10.7804 0.0000
2.6497 10.7804 0.0000
0.0000 0.0000 6.3936
Nd Ga Cu
8 2 2
Cartesian
2.6497 9.5786 3.1968
2.6497 6.7180 4.9565
2.6497 6.1544 1.8590
2.6497 2.3181 3.5191
2.6497 -2.3181 0.3224
2.6497 -6.1544 5.0557
2.6497 -6.7180 1.7598
2.6497 -9.5786 0.0000
2.6497 3.3682 0.1767
2.6497 -3.3682 3.3735
2.6497 9.1397 0.1367
2.6497 -9.1397 3.3335
```

The structure with the least stability is ii.

i | First-principles (GGA-PBE) data for a relaxed Nd2Ga2Cu3 crystal, as listed in the Alexandria database.

SG: I2_13
Spin magnetization (μB per cell): 0.000

```
Nd2Ga2Cu3
1.0
-4.1874 4.1874 4.1874
4.1874 -4.1874 4.1874
4.1874 4.1874 -4.1874
Nd Ga Cu
4 4 6
Cartesian
4.3282 -0.1408 0.1408
0.1408 4.3282 -0.1408
-0.1408 0.1408 4.3282
4.0466 4.0466 4.0466
6.0262 -1.8388 1.8388
1.8388 6.0262 -1.8388
2.3486 2.3486 2.3486
-1.8388 1.8388 6.0262
4.1874 2.0937 -1.7501
2.0937 1.7501 0.0000
1.7501 0.0000 2.0937
2.0937 -1.7501 4.1874
0.0000 2.0937 1.7501
-1.7501 4.1874 2.0937
```

ii | First-principles (GGA-PBE) data for a relaxed Nd2Ga2Cu3 crystal, as listed in the Alexandria database.

SG: C2/m
Spin magnetization (μB per cell): 0.000

```
Nd2Ga2Cu3
1.0
5.2687 -2.1189 0.0000
5.2687 2.1189 0.0000
-2.6528 0.0000 6.0715
Nd Ga Cu
2 2 3
Cartesian
0.8272 0.0000 1.5857
7.0573 0.0000 4.4858
-0.4277 0.0000 4.5056
8.3122 0.0000 1.5660
4.0184 0.0000 0.5016
3.9423 0.0000 3.0358
3.8661 0.0000 5.5699
```

The structure with the least stability is i.

i | First-principles (GGA-PBE) data for a relaxed NdGaCuNi crystal, as listed in the Alexandria database.

SG: F-43m
Spin magnetization (μB per cell): 0.000

```
NdGaCuNi
1.0
0.0000 3.2685 3.2685
3.2685 0.0000 3.2685
3.2685 3.2685 0.0000
Nd Ga Cu Ni
1 1 1 1
Cartesian
0.0000 0.0000 0.0000
3.2685 3.2685 3.2685
1.6342 1.6342 1.6342
4.9027 4.9027 4.9027
```

ii | First-principles (GGA-PBE) data for a relaxed NdGaCuNi crystal, as listed in the Alexandria database.

SG: Cm
Spin magnetization (μB per cell): 0.000

```
NdGaCuNi
1.0
3.6704 -2.1144 0.0000
3.6704 2.1144 0.0000
-2.4426 0.0000 4.7696
Nd Ga Cu Ni
1 1 1 1
Cartesian
0.0000 0.0000 0.0000
2.4502 0.0000 2.5766
4.8976 0.0000 1.8963
0.0052 0.0000 2.8202
```

The structure with the least stability is i.

i | First-principles (GGA-PBE) data for a relaxed NdGaCuPd crystal, as listed in the Alexandria database.

SG: R3m
Spin magnetization (μB per cell): 0.000

```
NdGaCuPd
1.0
2.1918 1.2654 4.7547
-2.1918 1.2654 4.7547
0.0000 -2.5308 4.7547
Nd Ga Cu Pd
1 1 1 1
Cartesian
0.0000 0.0000 0.0000
0.0000 0.0000 7.0150
0.0000 0.0000 11.3314
0.0000 0.0000 2.9722
```

ii | First-principles (GGA-PBE) data for a relaxed NdGaCuPd crystal, as listed in the Alexandria database.

SG: F-43m
Spin magnetization (μB per cell): 0.000

```
NdGaCuPd
1.0
0.0000 3.3632 3.3632
3.3632 0.0000 3.3632
3.3632 3.3632 0.0000
Nd Ga Cu Pd
1 1 1 1
Cartesian
0.0000 0.0000 0.0000
3.3632 3.3632 3.3632
5.0448 5.0448 5.0448
1.6816 1.6816 1.6816
```

The structure with the least stability is ii.

i | First-principles (GGA-PBE) data for a relaxed GaCu2Ni5 crystal, as listed in the Alexandria database.

SG: I4/mmm
Spin magnetization (μB per cell): 1.161

```
GaCu2Ni5
1.0
-1.8130 1.8130 6.9412
1.8130 -1.8130 6.9412
1.8130 1.8130 -6.9412
Ga Cu Ni
1 2 5
Cartesian
0.0000 0.0000 0.0000
0.0000 0.0000 3.4770
0.0000 0.0000 10.4055
1.8130 0.0000 1.7231
1.8130 0.0000 5.2181
0.0000 0.0000 6.9412
0.0000 1.8130 1.7231
0.0000 1.8130 5.2181
```

ii | First-principles (GGA-PBE) data for a relaxed GaCu2Ni5 crystal, as listed in the Alexandria database.

SG: I4/mcm
Spin magnetization (μB per cell): 1.202

```
GaCu2Ni5
1.0
-3.0709 3.0709 5.0287
3.0709 -3.0709 5.0287
3.0709 3.0709 -5.0287
Ga Cu Ni
2 4 10
Cartesian
0.0000 0.0000 2.5143
0.0000 0.0000 7.5430
3.9503 0.8794 0.0000
0.8794 2.1916 0.0000
2.1916 0.8794 5.0287
-0.8794 2.1916 5.0287
0.0000 0.0000 0.0000
3.9832 -0.9122 1.6552
2.1587 -0.9122 3.3735
2.1587 0.9122 1.6552
3.9832 0.9122 3.3735
0.0000 0.0000 5.0287
-0.9122 2.1587 1.6552
0.9122 2.1587 3.3735
0.9122 3.9832 1.6552
-0.9122 3.9832 3.3735
```

The structure with the least stability is ii.

i | First-principles (GGA-PBE) data for a relaxed Ga2CuNi8 crystal, as listed in the Alexandria database.

SG: C2/m
Spin magnetization (μB per cell): 1.024

```
Ga2CuNi8
1.0
3.1866 -5.6325 0.0000
3.1866 5.6325 0.0000
-1.9985 0.0000 3.7031
Ga Cu Ni
2 1 8
Cartesian
3.1866 3.4466 0.0000
3.1866 -3.4466 0.0000
2.1873 0.0000 1.8515
-0.0565 0.0000 1.1453
0.1244 1.2372 3.1860
2.1873 2.3673 1.8515
0.1244 -1.2372 3.1860
4.2503 1.2372 0.5170
2.1873 -2.3673 1.8515
4.2503 -1.2372 0.5170
4.4311 0.0000 2.5577
```

ii | First-principles (GGA-PBE) data for a relaxed Ga2CuNi8 crystal, as listed in the Alexandria database.

SG: C2/m
Spin magnetization (μB per cell): 1.467

```
Ga2CuNi8
1.0
3.6251 -4.8605 0.0000
3.6251 4.8605 0.0000
-0.0148 0.0000 3.7946
Ga Cu Ni
2 1 8
Cartesian
3.6251 3.6035 0.0000
3.6251 -3.6035 0.0000
3.6177 0.0000 1.8973
1.2118 0.0000 1.8912
2.3799 1.2727 3.7883
3.6177 2.3385 1.8973
2.3799 -1.2727 3.7883
4.8555 1.2727 0.0064
3.6177 -2.3385 1.8973
4.8555 -1.2727 0.0064
6.0236 0.0000 1.9034
```

The structure with the least stability is ii.

i | First-principles (GGA-PBE) data for a relaxed GaCu6Ni2 crystal, as listed in the Alexandria database.

SG: C2/m
Spin magnetization (μB per cell): 0.000

```
GaCu6Ni2
1.0
3.1649 -3.5762 0.0000
3.1649 3.5762 0.0000
-0.7453 0.0000 4.8076
Ga Cu Ni
1 6 2
Cartesian
0.0000 0.0000 0.0000
1.5000 1.1827 3.9927
2.7923 2.3654 2.4038
1.5000 -1.1827 3.9927
4.0845 1.1827 0.8149
2.7923 -2.3654 2.4038
4.0845 -1.1827 0.8149
1.8522 0.0000 1.5969
3.7323 0.0000 3.2107
```

ii | First-principles (GGA-PBE) data for a relaxed GaCu6Ni2 crystal, as listed in the Alexandria database.

SG: C2/c
Spin magnetization (μB per cell): 0.000

```
GaCu6Ni2
1.0
4.6527 -4.3173 0.0000
4.6527 4.3173 0.0000
-3.8518 0.0000 5.3977
Ga Cu Ni
2 12 4
Cartesian
1.7639 2.9600 4.0483
3.6898 -2.9600 1.3494
-1.6658 0.8757 3.7503
1.5969 1.2419 0.7675
0.2601 -0.8757 1.0514
4.0820 1.0730 0.1639
-0.3290 -1.2419 3.4663
3.2976 1.0730 2.5350
2.1561 -1.0730 2.8627
5.7827 1.2419 1.9314
1.3717 -1.0730 5.2338
5.1936 0.8757 4.3463
3.8568 -1.2419 4.6302
7.1195 -0.8757 1.6474
0.7800 0.9634 3.1200
2.7059 -0.9634 0.4212
2.7478 0.9634 4.9765
4.6737 -0.9634 2.2776
```

The structure with the least stability is i.

i | First-principles (GGA-PBE) data for a relaxed GaCu5Ni crystal, as listed in the Alexandria database.

SG: Imm2
Spin magnetization (μB per cell): 0.000

```
GaCu5Ni
1.0
-3.1804 4.2462 2.3115
3.1804 -4.2462 2.3115
3.1804 4.2462 -2.3115
Ga Cu Ni
1 5 1
Cartesian
0.0000 0.0000 0.0000
3.1804 -1.9376 2.0509
2.0278 0.0000 1.1407
4.3331 0.0000 1.1407
0.0000 0.0000 2.3819
3.1804 1.9376 2.0509
0.0000 4.2462 1.1696
```

ii | First-principles (GGA-PBE) data for a relaxed GaCu5Ni crystal, as listed in the Alexandria database.

SG: Cmmm
Spin magnetization (μB per cell): 0.000

```
GaCu5Ni
1.0
2.5322 -3.6188 0.0000
2.5322 3.6188 0.0000
0.0000 0.0000 5.0520
Ga Cu Ni
1 5 1
Cartesian
0.0000 0.0000 0.0000
1.2661 1.8094 1.3088
1.2661 1.8094 3.7432
1.2661 -1.8094 1.3088
1.2661 -1.8094 3.7432
2.5322 0.0000 0.0000
2.5322 0.0000 2.5260
```

The structure with the least stability is i.